# 1
A relaxed structure of CaNd5Tl6, computed with PBE.

Structure (CIF):
```
data_CaNd5Tl6
_cell_length_a 5.5201
_cell_length_b 16.6064
_cell_length_c 7.7776
_cell_angle_alpha 90.00
_cell_angle_beta 90.00
_cell_angle_gamma 90.00
_symmetry_space_group_name_H-M 'C m m m'
_symmetry_Int_Tables_number 65
_symmetry_space_group_name_Hall '-C 2 2'
loop_
_atom_site_label
_atom_site_type_symbol
_atom_site_fract_x
_atom_site_fract_y
_atom_site_fract_z
Ca1 Ca 0.0000 0.0000 0.0000
Nd1 Nd 0.0000 0.0000 0.5000
Nd2 Nd 0.0000 0.3320 0.5000
Nd3 Nd 0.0000 0.3364 0.0000
Tl1 Tl 0.0000 0.1656 0.2466
Tl2 Tl 0.0000 0.5000 0.2501
```

Calculated values
calculated total energy = -89.55 eV per cell
E above lowest polymorph = 0 meV/atom

# 2
A relaxed structure of Mn2AlTe, computed with PBE.

Structure (CIF):
```
data_Mn2AlTe
_cell_length_a 8.9369
_cell_length_b 3.7999
_cell_length_c 4.5263
_cell_angle_alpha 90.00
_cell_angle_beta 118.94
_cell_angle_gamma 90.00
_symmetry_space_group_name_H-M 'C 1 2/m 1'
_symmetry_Int_Tables_number 12
loop_
_symmetry_equiv_pos_as_xyz
'x,y,z'
'-x,-y,-z'
'-x,y,-z'
'x,-y,z'
'x+1/2,y+1/2,z'
'-x+1/2,-y+1/2,-z'
'-x+1/2,y+1/2,-z'
'x+1/2,-y+1/2,z'
loop_
_atom_site_label
_atom_site_type_symbol
_atom_site_fract_x
_atom_site_fract_y
_atom_site_fract_z
Mn1 Mn 0.2381 0.0000 0.2337
Al1 Al 0.0000 0.5000 0.0000
Te1 Te 0.0000 0.0000 0.5000
```

Calculated values
calculated total energy = -48.69 eV per cell
ΔE_f (raw) = 219.2 meV per atom
E above lowest polymorph = 107 meV/atom

# 3
A relaxed structure of Ce2Al3ZnGa4, computed with PBE.

Structure (CIF):
```
data_Ce2Al3ZnGa4
_cell_length_a 4.2940
_cell_length_b 4.2940
_cell_length_c 10.7453
_cell_angle_alpha 90.00
_cell_angle_beta 90.00
_cell_angle_gamma 90.00
_symmetry_space_group_name_H-M 'P -4 m 2'
_symmetry_Int_Tables_number 115
loop_
_symmetry_equiv_pos_as_xyz
'x,y,z'
'y,-x,-z'
'-x,-y,z'
'-y,x,-z'
'-x,y,z'
'-y,-x,-z'
'x,-y,z'
'y,x,-z'
loop_
_atom_site_label
_atom_site_type_symbol
_atom_site_fract_x
_atom_site_fract_y
_atom_site_fract_z
Ce1 Ce 0.0000 0.5000 0.2465
Al1 Al 0.0000 0.5000 0.8652
Al2 Al 0.5000 0.5000 0.5000
Zn1 Zn 0.0000 0.0000 0.5000
Ga1 Ga 0.0000 0.0000 0.0000
Ga2 Ga 0.0000 0.5000 0.6353
Ga3 Ga 0.5000 0.5000 0.0000
```

Calculated values
calculated total energy = -40.35 eV per cell

# 4
A relaxed structure of BiPtS3, computed with PBE.

Structure (CIF):
```
data_BiPtS3
_cell_length_a 4.7340
_cell_length_b 4.7340
_cell_length_c 4.7340
_cell_angle_alpha 90.00
_cell_angle_beta 90.00
_cell_angle_gamma 90.00
_symmetry_space_group_name_H-M 'P m -3 m'
_symmetry_Int_Tables_number 221
_symmetry_space_group_name_Hall '-P 4 2 3'
loop_
_atom_site_label
_atom_site_type_symbol
_atom_site_fract_x
_atom_site_fract_y
_atom_site_fract_z
Bi1 Bi 0.0000 0.0000 0.0000
Pt1 Pt 0.5000 0.5000 0.5000
S1 S 0.0000 0.5000 0.5000
```

Calculated values
calculated total energy = -21.30 eV per cell
ΔE_f (raw) = 201.8 meV per atom
E above lowest polymorph = 0 meV/atom

# 5
A relaxed structure of NaPmYPb, computed with PBE.

Structure (CIF):
```
data_NaPmYPb
_cell_length_a 7.7257
_cell_length_b 7.7257
_cell_length_c 7.7257
_cell_angle_alpha 90.00
_cell_angle_beta 90.00
_cell_angle_gamma 90.00
_symmetry_space_group_name_H-M 'F -4 3 m'
_symmetry_Int_Tables_number 216
_symmetry_space_group_name_Hall 'F -4 2 3'
loop_
_atom_site_label
_atom_site_type_symbol
_atom_site_fract_x
_atom_site_fract_y
_atom_site_fract_z
Na1 Na 0.0000 0.0000 0.0000
Pm1 Pm 0.2500 0.2500 0.7500
Y1 Y 0.2500 0.2500 0.2500
Pb1 Pb 0.0000 0.0000 0.5000
```

Calculated values
calculated total energy = -68.01 eV per cell

# 6
A relaxed structure of Hf4Au2N, computed with PBE.

Structure (CIF):
```
data_Hf4Au2N
_cell_length_a 4.2250
_cell_length_b 4.2250
_cell_length_c 15.4099
_cell_angle_alpha 90.00
_cell_angle_beta 90.00
_cell_angle_gamma 90.00
_symmetry_space_group_name_H-M 'I 4/m m m'
_symmetry_Int_Tables_number 139
_symmetry_space_group_name_Hall '-I 4 2'
loop_
_atom_site_label
_atom_site_type_symbol
_atom_site_fract_x
_atom_site_fract_y
_atom_site_fract_z
Hf1 Hf 0.0000 0.0000 0.1768
Hf2 Hf 0.0000 0.5000 0.0000
Au1 Au 0.0000 0.0000 0.3468
N1 N 0.0000 0.0000 0.5000
```

Calculated values
calculated total energy = -115.02 eV per cell
ΔE_f (raw) = -402.2 meV per atom
E above lowest polymorph = 332 meV/atom

The evaluated DOS(E_F) for the records listed, in turn: 19.488, 4.951, 14.948, 2.980, 14.619, 10.970 states/eV/cell.